# NaCrPd2N (PBE-GGA, optimized geometry)
# - symmetry = P4/mmm (123)
# - energy relative to the elements, uncorrected (eV/f.u.) = 0.0
# - calculated density (g/cm³) = 6.782
data_NaCrPd2N
_chemical_formula_sum 'Na1 Cr1 Pd2 N1'
_space_group_name_H-M_alt 'P 1'
_space_group_IT_number 1
_space_group_name_Hall 'P 1'
_cell_length_a 4.441
_cell_length_b 3.746
_cell_length_c 4.441
_cell_angle_alpha 90.00
_cell_angle_beta 90.00
_cell_angle_gamma 90.00
loop_
_atom_site_label
_atom_site_fract_x
_atom_site_fract_y
_atom_site_fract_z
Pd1 0.500 0.000 0.000
Pd2 0.000 0.000 0.500
N1 0.000 0.000 0.000
Cr1 0.000 0.500 0.000
Na1 0.500 0.500 0.500